First-principles (GGA-PBE) data for a geometry-optimized MgZn2Br structure, as listed in the Alexandria database.

* calculated volume: 102 Å³/cell
* total magnetic moment: 0.00 Bohr magnetons per cell
* density of states at the Fermi level: 0.826 states/eV per cell
* uncorrected formation energy: -22.4 kJ/mol of atoms

Lattice parameters (Å, degrees): 3.6836 3.3355 8.3089 90.00 92.88 90.00
Fractional positions:
Mg  0.0000  0.0000  0.0000
Zn  0.4570  0.0000  0.6496
Zn  0.9654  0.5000  0.7247
Br  0.5184  0.5000  0.1697